(1)
Computed, not measured: a relaxed structure of Pm2InSi3Pd4 at the PBE level of DFT.

abc: 4.2730 4.2730 10.3910
angles: 90.00 90.00 90.00
Fractional positions:
1 Pm 0.5000 0.0000 0.2413
2 Pm 0.0000 0.5000 0.7587
3 In 0.5000 0.5000 0.5000
4 Si 0.0000 0.0000 0.5000
5 Si 0.5000 0.0000 0.8788
6 Si 0.0000 0.5000 0.1212
7 Pd 0.5000 0.5000 0.0000
8 Pd 0.0000 0.0000 0.0000
9 Pd 0.5000 0.0000 0.6494
10 Pd 0.0000 0.5000 0.3506

Output
- magnetization (μB/f.u.) = 0.00
- SG = P-4m2 (115)
- crystal system = tetragonal
- VASP energy (eV/atom) = -5.7525
- uncorrected formation energy (kJ/mol of formula units) = -795.6

---

(2)
Computed, not measured: a relaxed structure of Tb16Y6Er7 at the PBE level of DFT.

abc: 11.0926 11.0926 11.0926
angles: 60.00 60.00 60.00
Fractional positions:
1 Tb 0.8777 0.8777 0.3670
2 Tb 0.8777 0.8777 0.8777
3 Tb 0.8777 0.3670 0.8777
4 Tb 0.3670 0.8777 0.8777
5 Tb 0.1223 0.1223 0.1223
6 Tb 0.1223 0.1223 0.6330
7 Tb 0.1223 0.6330 0.1223
8 Tb 0.6330 0.1223 0.1223
9 Tb 0.6527 0.6527 0.0418
10 Tb 0.6527 0.6527 0.6527
11 Tb 0.6527 0.0418 0.6527
12 Tb 0.0418 0.6527 0.6527
13 Tb 0.3473 0.3473 0.3473
14 Tb 0.3473 0.3473 0.9582
15 Tb 0.3473 0.9582 0.3473
16 Tb 0.9582 0.3473 0.3473
17 Y 0.2801 0.7199 0.2801
18 Y 0.7199 0.2801 0.7199
19 Y 0.7199 0.2801 0.2801
20 Y 0.2801 0.7199 0.7199
21 Y 0.7199 0.7199 0.2801
22 Y 0.2801 0.2801 0.7199
23 Er 0.0000 0.0000 0.0000
24 Er 0.5000 0.0000 0.5000
25 Er 0.0000 0.5000 0.0000
26 Er 0.0000 0.5000 0.5000
27 Er 0.5000 0.0000 0.0000
28 Er 0.0000 0.0000 0.5000
29 Er 0.5000 0.5000 0.0000

Output
- energy of formation (eV/atom) = 0.219
- magnetization (μB/f.u.) = 0.02
- SG = Fm-3m (225)
- crystal system = cubic
- VASP energy (eV/atom) = -4.7741

---

(3)
Computed, not measured: a relaxed structure of RbCoTc2 at the PBE level of DFT.

abc: 4.4919 4.4919 4.4919
angles: 60.00 60.00 60.00
Fractional positions:
1 Co 0.0000 0.0000 0.0000
2 Tc 0.2500 0.2500 0.2500
3 Tc 0.7500 0.7500 0.7500
4 Rb 0.5000 0.5000 0.5000

Output
- energy of formation (eV/atom) = 1.906
- magnetization (μB/f.u.) = 0.00
- SG = Fm-3m (225)
- crystal system = cubic
- relative energy among the computed polymorphs (eV per formula unit) = 1.22
- VASP energy (eV/atom) = -5.2956

---

(4)
Computed, not measured: a relaxed structure of Dy5Y2Th3 at the PBE level of DFT.

abc: 5.0391 6.1538 12.8967
angles: 61.08 78.73 65.83
Fractional positions:
1 Dy 0.0000 0.0000 0.0000
2 Dy 0.2001 0.0004 0.5994
3 Dy 0.7999 0.9996 0.4006
4 Dy 0.6991 0.5005 0.1012
5 Dy 0.3009 0.4995 0.8988
6 Y 0.4019 0.9941 0.2021
7 Y 0.5981 0.0059 0.7979
8 Th 0.5000 0.5000 0.5000
9 Th 0.0988 0.5022 0.3003
10 Th 0.9012 0.4978 0.6997

Output
- energy of formation (eV/atom) = 0.037
- magnetization (μB/f.u.) = 0.00
- SG = C2/m (12)
- crystal system = monoclinic
- VASP energy (eV/atom) = -5.7826

---

(5)
Computed, not measured: a relaxed structure of CsI6 at the PBE level of DFT.

abc: 8.2842 8.2842 8.2842
angles: 109.47 109.47 109.47
Fractional positions:
1 Cs 0.0000 0.0000 0.0000
2 I 0.2500 0.7500 0.5000
3 I 0.5000 0.7500 0.2500
4 I 0.2500 0.5000 0.7500
5 I 0.7500 0.2500 0.5000
6 I 0.5000 0.2500 0.7500
7 I 0.7500 0.5000 0.2500

Output
- magnetization (μB/f.u.) = 0.00
- SG = Im-3m (229)
- crystal system = cubic
- VASP energy (eV/atom) = -1.4613
- uncorrected formation energy (kJ/mol of formula units) = -7.2

---

(6)
Computed, not measured: a relaxed structure of MnGaCoRuS at the PBE level of DFT.

abc: 4.0295 4.0197 5.1994
angles: 112.77 90.05 120.06
Fractional positions:
1 Ru 0.8763 0.7537 0.5576
2 S 0.4642 0.9280 0.3127
3 Mn 0.1023 0.2046 0.2301
4 Co 0.3094 0.6185 0.8539
5 Ga 0.6523 0.3043 0.8815

Output
- magnetization (μB/f.u.) = 3.23
- SG = Cm (8)
- crystal system = monoclinic
- relative energy among the computed polymorphs (eV per formula unit) = 1.05
- VASP energy (eV/atom) = -6.5671
- uncorrected formation energy (kJ/mol of formula units) = -12.5

---

(7)
Computed, not measured: a relaxed structure of Al2Sn2Sb at the PBE level of DFT.

abc: 8.5936 8.5936 3.2803
angles: 90.00 90.00 90.00
Fractional positions:
1 Sb 0.0000 0.0000 0.0000
2 Sb 0.5000 0.5000 0.0000
3 Sn 0.3316 0.8316 0.0000
4 Sn 0.8316 0.6684 0.0000
5 Sn 0.6684 0.1684 0.0000
6 Sn 0.1684 0.3316 0.0000
7 Al 0.1268 0.6268 0.5000
8 Al 0.6268 0.8732 0.5000
9 Al 0.8732 0.3732 0.5000
10 Al 0.3732 0.1268 0.5000

Output
- magnetization (μB/f.u.) = 0.00
- SG = P4/mbm (127)
- crystal system = tetragonal
- relative energy among the computed polymorphs (eV per formula unit) = 0.13
- VASP energy (eV/atom) = -3.7324
- uncorrected formation energy (kJ/mol of formula units) = 91.8

---

(8)
Computed, not measured: a relaxed structure of Li4AgHg3 at the PBE level of DFT.

abc: 4.6433 4.6431 7.3208
angles: 108.34 108.49 90.00
Fractional positions:
1 Hg 0.0000 0.5000 0.0000
2 Hg 0.7449 0.2448 0.4899
3 Hg 0.2551 0.7552 0.5101
4 Ag 0.5000 0.0000 0.0000
5 Li 0.3783 0.3785 0.7567
6 Li 0.6217 0.6215 0.2433
7 Li 0.1217 0.1216 0.2433
8 Li 0.8783 0.8784 0.7567

Output
- energy of formation (eV/atom) = -0.331
- magnetization (μB/f.u.) = 0.00
- SG = C2/m (12)
- crystal system = monoclinic
- relative energy among the computed polymorphs (eV per formula unit) = 0.00
- VASP energy (eV/atom) = -1.7573

---

> Number 2 is which compound?

Tb16Y6Er7

---

Copy entry 4 word for word.
Computed, not measured: a relaxed structure of Dy5Y2Th3 at the PBE level of DFT.

abc: 5.0391 6.1538 12.8967
angles: 61.08 78.73 65.83
Fractional positions:
1 Dy 0.0000 0.0000 0.0000
2 Dy 0.2001 0.0004 0.5994
3 Dy 0.7999 0.9996 0.4006
4 Dy 0.6991 0.5005 0.1012
5 Dy 0.3009 0.4995 0.8988
6 Y 0.4019 0.9941 0.2021
7 Y 0.5981 0.0059 0.7979
8 Th 0.5000 0.5000 0.5000
9 Th 0.0988 0.5022 0.3003
10 Th 0.9012 0.4978 0.6997

Output
- energy of formation (eV/atom) = 0.037
- magnetization (μB/f.u.) = 0.00
- SG = C2/m (12)
- crystal system = monoclinic
- VASP energy (eV/atom) = -5.7826